Ac3NdHg: relaxed, PBE.

Mass density: 8.1 g/cm³
E_tot: -3.50 eV/atom
Space-group type: C2/m, No. 12
M_tot: 0.00 μB/atom
Formation enthalpy at 0 K: -0.0239 eV per atom
E above lowest polymorph: 31 kJ/mol of formula units

Structure (POSCAR):
```
Ac3NdHg
1.0
-1.395 -3.748 6.812
0.519 -5.754 -5.387
7.528 4.039 -1.101
Ac Nd Hg
6 2 2
Direct
0.778 0.605 0.795
0.738 0.456 0.194
0.810 0.983 0.205
0.190 0.017 0.795
0.222 0.395 0.205
0.262 0.544 0.806
0.314 0.923 0.237
0.686 0.077 0.763
0.334 0.224 0.558
0.666 0.776 0.442
```

Pm2Si3Pd2: relaxed, PBE.

Mass density: 7.4 g/cm³
ΔE_f (raw): -0.732 eV per atom
E_tot: -5.90 eV/atom
Space-group type: C2/m, No. 12
M_tot: 0.00 μB/atom
E above lowest polymorph: 107 kJ/mol of formula units

Structure (POSCAR):
```
Pm2Si3Pd2
1.0
-2.806 1.433 -2.878
-2.481 -3.059 4.059
1.230 6.110 1.843
Si Pm Pd
3 2 2
Direct
0.598 0.196 0.436
0.402 0.804 0.564
0.500 0.000 0.000
0.154 0.309 0.779
0.846 0.691 0.221
0.861 0.722 0.744
0.139 0.278 0.256
```

ScOs2Cl: relaxed, PBE.

Mass density: 12.0 g/cm³
ΔE_f (raw): 0.706 eV per atom
E_tot: -6.95 eV/atom
Space-group type: P4/mmm, No. 123
M_tot: 0.00 μB/atom
E above lowest polymorph: 316 kJ/mol of formula units

Structure (POSCAR):
```
ScOs2Cl
1.0
3.119 0.000 0.000
0.000 3.119 0.000
0.000 0.000 6.531
Os Cl Sc
2 1 1
Direct
0.000 0.000 0.995
0.000 0.000 0.505
0.500 0.500 0.750
0.500 0.500 0.250
```

CeSm12Ho7: relaxed, PBE.

Mass density: 7.7 g/cm³
E_tot: -4.48 eV/atom
Space-group type: R-3m, No. 166
M_tot: 0.06 μB/atom
Formation enthalpy at 0 K: 0.2496 eV per atom
E above lowest polymorph: 0 kJ/mol of formula units

Structure (POSCAR):
```
CeSm12Ho7
1.0
10.014 -0.680 -1.020
-3.437 9.430 -1.020
-3.437 -4.573 8.310
Ho Sm Ce
7 12 1
Direct
0.602 0.942 0.942
0.942 0.942 0.602
0.058 0.398 0.058
0.500 0.500 0.500
0.058 0.058 0.398
0.942 0.602 0.942
0.398 0.058 0.058
0.049 0.358 0.358
0.642 0.951 0.642
0.215 0.786 0.500
0.214 0.500 0.785
0.500 0.215 0.786
0.785 0.214 0.500
0.358 0.358 0.049
0.642 0.642 0.951
0.358 0.049 0.358
0.951 0.642 0.642
0.786 0.500 0.215
0.500 0.785 0.214
0.000 0.000 0.000
```

Ac3Ce5N12: relaxed, PBE.

Mass density: 7.0 g/cm³
ΔE_f (raw): -0.707 eV per atom
E_tot: -7.80 eV/atom
Space-group type: Ia-3d, No. 230
M_tot: 0.00 μB/atom

Structure (POSCAR):
```
Ac3Ce5N12
1.0
12.384 0.000 0.000
-4.128 11.676 0.000
-4.128 -5.838 10.112
Ce N Ac
20 48 12
Direct
0.625 0.750 0.875
0.375 0.125 0.750
0.125 0.375 0.250
0.750 0.625 0.375
0.000 0.500 0.000
0.375 0.250 0.125
0.500 0.500 0.000
0.875 0.250 0.625
0.000 0.000 0.000
0.125 0.750 0.375
0.000 0.000 0.500
0.000 0.500 0.500
0.250 0.875 0.125
0.500 0.000 0.500
0.250 0.375 0.625
0.500 0.500 0.500
0.875 0.625 0.750
0.625 0.875 0.250
0.750 0.125 0.875
0.500 0.000 0.000
0.079 0.902 0.373
0.029 0.402 0.824
0.176 0.079 0.706
0.176 0.098 0.971
0.373 0.971 0.794
0.421 0.294 0.324
0.921 0.824 0.794
0.902 0.079 0.873
0.971 0.373 0.294
0.324 0.529 0.402
0.902 0.824 0.529
0.529 0.206 0.127
0.676 0.471 0.598
0.971 0.598 0.176
0.098 0.921 0.127
0.127 0.421 0.098
0.706 0.127 0.029
0.324 0.794 0.421
0.402 0.373 0.579
0.598 0.627 0.421
0.873 0.579 0.902
0.794 0.471 0.373
0.294 0.421 0.824
0.794 0.324 0.921
0.294 0.873 0.971
0.706 0.579 0.176
0.598 0.971 0.676
0.824 0.921 0.294
0.579 0.706 0.676
0.206 0.676 0.079
0.873 0.294 0.471
0.471 0.676 0.098
0.627 0.598 0.921
0.127 0.706 0.529
0.824 0.902 0.029
0.373 0.402 0.079
0.402 0.029 0.324
0.471 0.794 0.873
0.079 0.176 0.206
0.676 0.206 0.579
0.421 0.127 0.598
0.206 0.529 0.627
0.579 0.873 0.402
0.529 0.324 0.902
0.921 0.098 0.627
0.029 0.627 0.706
0.098 0.176 0.471
0.627 0.029 0.206
0.750 0.375 0.125
0.875 0.750 0.125
0.375 0.625 0.250
0.875 0.125 0.250
0.750 0.875 0.625
0.250 0.625 0.875
0.125 0.250 0.875
0.125 0.875 0.750
0.250 0.125 0.375
0.625 0.250 0.375
0.375 0.750 0.625
0.625 0.375 0.750
```

NaBOF2: relaxed, PBE.

Mass density: 1.8 g/cm³
ΔE_f (raw): 0.245 eV per atom
E_tot: -3.09 eV/atom
Space-group type: P4/mmm, No. 123
M_tot: 0.40 μB/atom
E above lowest polymorph: 1441 kJ/mol of formula units

Structure (POSCAR):
```
NaBOF2
1.0
4.296 0.000 0.000
0.000 4.296 0.000
0.000 0.000 4.279
O Na F B
1 1 2 1
Direct
0.000 0.000 0.500
0.000 0.000 0.000
0.000 0.500 0.000
0.500 0.000 0.000
0.500 0.500 0.500
```

CdSi2HgPb: relaxed, PBE.

Mass density: 6.3 g/cm³
ΔE_f (raw): 0.964 eV per atom
E_tot: -2.19 eV/atom
Space-group type: P4/mmm, No. 123
M_tot: 0.00 μB/atom

Structure (POSCAR):
```
CdSi2HgPb
1.0
-1.317 -2.043 4.444
0.171 -4.619 -2.073
5.674 -0.452 1.474
Cd Si Pb Hg
1 2 1 1
Direct
0.500 0.500 0.500
0.500 0.000 0.000
0.000 0.500 0.000
0.000 0.000 0.500
0.000 0.000 0.000
```

Lu2SiO5: relaxed, PBE.

Mass density: 7.7 g/cm³
ΔE_f (raw): -3.404 eV per atom
E_tot: -8.31 eV/atom
Space-group type: P2_1/c, No. 14
M_tot: 0.00 μB/atom

Structure (POSCAR):
```
Lu2SiO5
1.0
-2.008 6.136 -1.403
1.272 -1.065 -6.477
-8.076 -3.262 -2.708
O Si Lu
20 4 8
Direct
0.935 0.167 0.153
0.435 0.333 0.847
0.123 0.579 0.606
0.439 0.712 0.791
0.700 0.007 0.902
0.649 0.543 0.615
0.065 0.833 0.847
0.149 0.957 0.385
0.377 0.079 0.606
0.623 0.921 0.394
0.200 0.493 0.098
0.877 0.421 0.394
0.351 0.457 0.385
0.939 0.788 0.209
0.800 0.507 0.902
0.851 0.043 0.615
0.561 0.288 0.209
0.061 0.212 0.791
0.300 0.993 0.098
0.565 0.667 0.153
0.099 0.984 0.203
0.401 0.484 0.203
0.599 0.516 0.797
0.901 0.016 0.797
0.642 0.987 0.149
0.858 0.487 0.149
0.383 0.776 0.537
0.358 0.013 0.851
0.117 0.276 0.537
0.142 0.513 0.851
0.617 0.224 0.463
0.883 0.724 0.463
```

Pm2Cu12Ni3Sn: relaxed, PBE.

Mass density: 8.4 g/cm³
E_tot: -4.37 eV/atom
Space-group type: R-3m, No. 166
M_tot: 0.00 μB/atom
Formation enthalpy at 0 K: 0.0734 eV per atom

Structure (POSCAR):
```
Pm2Cu12Ni3Sn
1.0
-5.305 -1.957 -3.138
2.215 -5.841 -1.674
-2.640 -3.257 4.924
Sn Cu Ni Pm
1 12 3 2
Direct
0.000 0.000 0.000
0.151 0.577 0.577
0.795 0.795 0.288
0.795 0.288 0.795
0.577 0.151 0.577
0.423 0.423 0.849
0.577 0.577 0.151
0.423 0.849 0.423
0.849 0.423 0.423
0.288 0.795 0.795
0.205 0.205 0.712
0.205 0.712 0.205
0.712 0.205 0.205
0.000 0.500 0.000
0.000 0.000 0.500
0.500 0.000 0.000
0.743 0.743 0.743
0.257 0.257 0.257
```

SiRhBr2: relaxed, PBE.

Mass density: 6.1 g/cm³
ΔE_f (raw): 0.622 eV per atom
E_tot: -3.41 eV/atom
Space-group type: Fm-3m, No. 225
M_tot: 0.26 μB/atom
E above lowest polymorph: 313 kJ/mol of formula units

Structure (POSCAR):
```
SiRhBr2
1.0
0.000 3.400 3.400
3.400 0.000 3.400
3.400 3.400 0.000
Br Rh Si
2 1 1
Direct
0.250 0.250 0.250
0.750 0.750 0.750
0.500 0.500 0.500
0.000 0.000 0.000
```

Ho5Er4Mg2: relaxed, PBE.

Mass density: 7.7 g/cm³
E_tot: -3.99 eV/atom
Space-group type: P-1, No. 2
M_tot: 0.00 μB/atom
Formation enthalpy at 0 K: 0.0435 eV per atom
E above lowest polymorph: 0 kJ/mol of formula units

Structure (POSCAR):
```
Ho5Er4Mg2
1.0
3.445 -0.210 -0.452
-2.018 9.489 -6.282
1.483 -4.521 13.156
Er Ho Mg
4 5 2
Direct
0.255 0.512 0.704
0.114 0.223 0.953
0.745 0.488 0.296
0.886 0.777 0.047
0.862 0.724 0.654
0.469 0.937 0.587
0.138 0.276 0.346
0.500 0.000 0.000
0.531 0.063 0.413
0.172 0.352 0.812
0.828 0.648 0.188
```

K2TePbO: relaxed, PBE.

Mass density: 5.1 g/cm³
ΔE_f (raw): -0.928 eV per atom
E_tot: -3.73 eV/atom
Space-group type: P4/mmm, No. 123
M_tot: 0.00 μB/atom

Structure (POSCAR):
```
K2TePbO
1.0
-0.523 -2.278 -4.757
5.246 -0.720 -0.232
-0.516 -4.462 2.193
K O Te Pb
2 1 1 1
Direct
0.000 0.500 0.000
0.500 0.000 0.000
0.000 0.000 0.000
0.500 0.500 0.500
0.000 0.000 0.500
```